Density functional theory data (PBE) for AgWCl2 after structural relaxation.

Geometry as POSCAR:
```
AgWCl2
1.0
-1.1047 -1.2384 -2.5405
-4.7770 -2.0638 3.0833
-2.1378 3.6668 -0.8578
Cl W Ag
2 1 1
Cartesian
0.0000 0.0000 0.0000
-2.9409 -1.6511 0.2714
-1.6213 1.2142 -1.6991
-3.4574 0.8015 1.1128
```

Results
The value obtained for the formation energy (no corrections) is 759 meV per atom. As for the symmetry: Pmmm (47). The value obtained for the total magnetization is 2.9 μB/f.u.